Computed, not measured: crystalline Tl3Hg4Pb2 at its relaxed geometry at the GGA-PBE level of DFT.

SG: C2/m, No. 12
E above lowest polymorph in eV/atom: 0.009

Cell: 5.3509 6.0633 9.6533 Å, 102.54 90.00 116.18°
Element x y z (fractional)
Hg1 0.3173 0.6347 0.9430
Hg2 0.6827 0.3653 0.0570
Pb1 0.2946 0.5892 0.6158
Tl1 0.0000 0.0000 0.0000
Tl2 0.6339 0.2677 0.7207
Hg3 0.0316 0.0632 0.3479
Tl3 0.3661 0.7323 0.2793
Pb2 0.7054 0.4108 0.3842
Hg4 0.9684 0.9368 0.6521